1.
DFT (PBE) results for a relaxed KBeSb2I crystal.

Cell lengths 4.7875, 4.7875, 8.7501 Å; angles 90.00, 90.00, 90.00 degrees
Last column: nearest neighbours and their distance in Å.
Fractional positions:
1 K 0.0000 0.0000 0.0000  4 I 3.39
2 Be 0.5000 0.5000 0.5000  4 Sb 2.39
3 Sb 0.0000 0.5000 0.5000  2 Be 2.39
4 Sb 0.5000 0.0000 0.5000  2 Be 2.39
5 I 0.5000 0.5000 0.0000  4 K 3.39

Calculated values
- relative energy among the computed polymorphs (eV per formula unit) = 0.00
- size of the total moment (μB per cell) = 0.00
- crystal system = tetragonal
- E_tot (eV/atom) = -2.9683
- V (Å³ per atom) = 40.11

2.
DFT (PBE) results for a relaxed Ta2BiMoAu crystal.

Cell lengths 4.9565, 4.9565, 5.3940 Å; angles 90.00, 90.00, 90.00 degrees
Last column: nearest neighbours and their distance in Å.
Fractional positions:
1 Ta 0.0000 0.5000 0.0000  2 Au 2.48
2 Ta 0.5000 0.0000 0.0000  2 Au 2.48
3 Bi 0.0000 0.0000 0.5000  2 Au 2.70
4 Mo 0.5000 0.5000 0.5000  4 Bi 3.50, 8 Ta 3.66
5 Au 0.0000 0.0000 0.0000  4 Ta 2.48, 2 Bi 2.70

Calculated values
- size of the total moment (μB per cell) = 1.38
- crystal system = tetragonal
- E_tot (eV/atom) = -6.3206
- V (Å³ per atom) = 26.50
- ΔE_f (eV per formula unit) = 10.09

3.
DFT (PBE) results for a relaxed Tb2CuP3Pt4 crystal.

Cell lengths 4.2201, 4.2201, 9.6948 Å; angles 90.00, 90.00, 90.00 degrees
Last column: nearest neighbours and their distance in Å.
Fractional positions:
1 Tb 0.0000 0.5000 0.2502  6 P 3.19-3.21, 8 Pt 3.21-3.22, 2 Cu 3.21
2 Tb 0.5000 0.0000 0.7498  6 P 3.19-3.21, 8 Pt 3.21-3.22, 2 Cu 3.21
3 Cu 0.0000 0.0000 0.5000  4 Pt 2.45
4 P 0.0000 0.5000 0.8655  5 Pt 2.30-2.48
5 P 0.5000 0.0000 0.1345  5 Pt 2.30-2.48
6 P 0.5000 0.5000 0.5000  4 Pt 2.45
7 Pt 0.0000 0.0000 0.0000  4 P 2.48
8 Pt 0.0000 0.5000 0.6282  3 P 2.30-2.45, 2 Cu 2.45
9 Pt 0.5000 0.0000 0.3718  3 P 2.30-2.45, 2 Cu 2.45
10 Pt 0.5000 0.5000 0.0000  4 P 2.48

Calculated values
- size of the total moment (μB per cell) = 0.00
- crystal system = tetragonal
- E_tot (eV/atom) = -6.2600
- V (Å³ per atom) = 17.27
- ΔE_f (eV per formula unit) = -8.85

4.
DFT (PBE) results for a relaxed NaAsO2 crystal.

Cell lengths 6.4822, 6.4822, 6.4822 Å; angles 28.15, 28.15, 28.15 degrees
Last column: nearest neighbours and their distance in Å.
Fractional positions:
1 Na 0.0000 0.0000 0.0000  6 O 2.29
2 As 0.5000 0.5000 0.5000  2 O 1.72
3 O 0.4076 0.4076 0.4076  1 As 1.72
4 O 0.5924 0.5924 0.5924  1 As 1.72

Calculated values
- size of the total moment (μB per cell) = 0.00
- crystal system = trigonal
- E_tot (eV/atom) = -4.8198
- V (Å³ per atom) = 13.39

Question: Look up the V of the second one.
Answer: 26.50 Å³ per atom